PBE EuThAu, relaxed; electronic total energy = -22.01 eV per cell; symmetry = I4mm, No. 107; density = 10.8 g cm⁻³; ΔE_f = -0.347 eV/atom
1.0
-1.8705 1.8705 6.4052
1.8705 -1.8705 6.4052
1.8705 1.8705 -6.4052
Eu Th Au
1 1 1
Direct
0.0000 0.0000 0.0000
0.2868 0.2868 0.0000
0.6580 0.6580 0.0000



PBE EuThZnAu, relaxed; electronic total energy = -23.82 eV per cell; symmetry = F-43m, No. 216; density = 10.5 g cm⁻³; ΔE_f = -0.393 eV/atom
1.0
0.0000 3.7119 3.7119
3.7119 0.0000 3.7119
3.7119 3.7119 0.0000
Eu Th Zn Au
1 1 1 1
Direct
0.0000 0.0000 0.0000
0.5000 0.5000 0.5000
0.7500 0.7500 0.7500
0.2500 0.2500 0.2500



PBE EuTlAu2, relaxed; electronic total energy = -21.22 eV per cell; symmetry = Fm-3m, No. 225; density = 12.7 g cm⁻³; ΔE_f = -0.506 eV/atom
1.0
0.0000 3.6564 3.6564
3.6564 0.0000 3.6564
3.6564 3.6564 0.0000
Eu Tl Au
1 1 2
Direct
0.0000 0.0000 0.0000
0.5000 0.5000 0.5000
0.2500 0.2500 0.2500
0.7500 0.7500 0.7500



PBE EuTlAu2, relaxed; electronic total energy = -21.07 eV per cell; symmetry = P4/mmm, No. 123; density = 12.5 g cm⁻³; ΔE_f = -0.468 eV/atom
1.0
3.8054 0.0000 0.0000
0.0000 3.8054 0.0000
0.0000 0.0000 6.8684
Eu Tl Au
1 1 2
Direct
0.0000 0.0000 0.0000
0.0000 0.0000 0.5000
0.5000 0.5000 0.2505
0.5000 0.5000 0.7495